Density functional theory data (GGA-PBE) for a relaxed structure of AcGeC2O8.

It has space group R-3m (No. 166, hexagonal axes), with a = 4.9363 Å, b = 4.9363 Å, c = 17.1440 Å, α = 90.00°, β = 90.00° and γ = 120.00°. The inequivalent atoms are Ac at (0.0000, 0.0000, 0.0000), Ge at (0.0000, 0.0000, 0.5000), C at (0.0000, 0.0000, 0.2153), O at (0.0000, 0.0000, 0.1395) and O at (0.0190, 0.5095, 0.9120).

The formation energy from raw total energies is -18.4 eV/f.u. Its electronic total energy is -7.1063 eV per atom. For the total magnetization, the calculation gives 1.03 μB/f.u.